# LiFeSe, relaxed, DFT PBE
# Relative energy among the computed polymorphs, meV/atom: 141
# ΔE_f (raw), eV per atom: -0.30
# Symmetry: F-43m (216)
data_LiFeSe
_chemical_formula_sum 'Li1 Fe1 Se1'
_cell_length_a 4.1112
_cell_length_b 4.1112
_cell_length_c 4.1112
_cell_angle_alpha 60.00
_cell_angle_beta 60.00
_cell_angle_gamma 60.00
_symmetry_space_group_name_H-M 'P 1'
_symmetry_Int_Tables_number 1
_symmetry_space_group_name_Hall 'P 1'
loop_
_atom_site_label
_atom_site_fract_x
_atom_site_fract_y
_atom_site_fract_z
_atom_site_occupancy
Fe1 0.0000 0.0000 0.0000 1
Li1 0.5000 0.5000 0.5000 1
Se1 0.2500 0.2500 0.2500 1

---

# MgTiOs, relaxed, DFT PBE
# E_form, eV per atom: 0.10
# Symmetry: Fddd (70)
data_MgTiOs
_chemical_formula_sum 'Mg4 Ti4 Os4'
_cell_length_a 7.1410
_cell_length_b 7.1410
_cell_length_c 8.6264
_cell_angle_alpha 132.09
_cell_angle_beta 132.09
_cell_angle_gamma 51.73
_symmetry_space_group_name_H-M 'P 1'
_symmetry_Int_Tables_number 1
_symmetry_space_group_name_Hall 'P 1'
loop_
_atom_site_label
_atom_site_fract_x
_atom_site_fract_y
_atom_site_fract_z
_atom_site_occupancy
Os1 0.1865 0.1865 0.3730 1
Os2 0.8135 0.8135 0.6270 1
Os3 0.0635 0.5635 0.1270 1
Os4 0.4365 0.9365 0.8730 1
Mg1 0.6250 0.8750 0.2500 1
Mg2 0.6250 0.3750 0.7500 1
Mg3 0.6250 0.3750 0.2500 1
Mg4 0.1250 0.3750 0.7500 1
Ti1 0.3603 0.8603 0.5000 1
Ti2 0.1103 0.1103 0.0000 1
Ti3 0.1397 0.6397 0.5000 1
Ti4 0.8897 0.8897 0.0000 1

---

# TbPmSb2, relaxed, DFT PBE
# Relative energy among the computed polymorphs, meV/atom: 322
# ΔE_f (raw), eV per atom: -0.84
# Symmetry: Fm-3m (225)
data_TbPmSb2
_chemical_formula_sum 'Tb1 Pm1 Sb2'
_cell_length_a 5.4355
_cell_length_b 5.4355
_cell_length_c 5.4355
_cell_angle_alpha 60.00
_cell_angle_beta 60.00
_cell_angle_gamma 60.00
_symmetry_space_group_name_H-M 'P 1'
_symmetry_Int_Tables_number 1
_symmetry_space_group_name_Hall 'P 1'
loop_
_atom_site_label
_atom_site_fract_x
_atom_site_fract_y
_atom_site_fract_z
_atom_site_occupancy
Sb1 0.2500 0.2500 0.2500 1
Sb2 0.7500 0.7500 0.7500 1
Tb1 0.0000 0.0000 0.0000 1
Pm1 0.5000 0.5000 0.5000 1